No. 1
A relaxed Tm6BiTe3Se2 crystal, computed with PBE-GGA.

a = 7.2963 Å, b = 7.2963 Å, c = 7.4053 Å
α = 99.50°, β = 99.50°, γ = 120.04°
Element x y z (fractional)
Tm  0.0695  0.4227  0.7734
Tm  0.2164  0.2164  0.2187
Tm  0.4227  0.0695  0.7734
Tm  0.5773  0.9305  0.2266
Tm  0.7836  0.7836  0.7813
Tm  0.9305  0.5773  0.2266
Bi  0.5000  0.5000  0.0000
Te  0.0000  0.0000  0.5000
Te  0.3414  0.6586  0.5000
Te  0.6586  0.3414  0.5000
Se  0.1691  0.8309  0.0000
Se  0.8309  0.1691  0.0000

Computed properties:
crystal system: monoclinic
ΔE_f (raw): -1.2727 eV/atom

---

No. 2
A relaxed GaSBrN2 crystal, computed with PBE-GGA.

a = 3.7719 Å, b = 3.7719 Å, c = 7.3753 Å
α = 90.00°, β = 90.00°, γ = 90.00°
Element x y z (fractional)
Ga  0.0000  0.0000  0.0000
S  0.5000  0.5000  0.0000
Br  0.5000  0.5000  0.5000
N  0.0000  0.5000  0.5000
N  0.5000  0.0000  0.5000

Computed properties:
offset from the most stable computed form: 0.508 eV per atom
crystal system: tetragonal
ΔE_f (raw): 1.8626 eV/atom

---

No. 3
A relaxed Mg4IrAu crystal, computed with PBE-GGA.

a = 7.7758 Å, b = 7.7758 Å, c = 7.7758 Å
α = 33.53°, β = 33.53°, γ = 33.53°
Element x y z (fractional)
Mg  0.1194  0.1194  0.1194
Mg  0.3684  0.3684  0.3684
Mg  0.6316  0.6316  0.6316
Mg  0.8806  0.8806  0.8806
Ir  0.0000  0.0000  0.0000
Au  0.5000  0.5000  0.5000

Computed properties:
offset from the most stable computed form: 0.058 eV per atom
energy of formation: -0.316 eV/atom
crystal system: trigonal

---

No. 4
A relaxed Pm6Se2S3 crystal, computed with PBE-GGA.

a = 20.2007 Å, b = 20.2007 Å, c = 20.2007 Å
α = 11.50°, β = 11.50°, γ = 11.50°
Element x y z (fractional)
Pm  0.0814  0.0814  0.0814
Pm  0.1910  0.1910  0.1910
Pm  0.3607  0.3607  0.3607
Pm  0.6393  0.6393  0.6393
Pm  0.8090  0.8090  0.8090
Pm  0.9186  0.9186  0.9186
Se  0.4450  0.4450  0.4450
Se  0.5550  0.5550  0.5550
S  0.0000  0.0000  0.0000
S  0.2788  0.2788  0.2788
S  0.7212  0.7212  0.7212

Computed properties:
crystal system: trigonal
ΔE_f (raw): -1.7510 eV/atom

---

no.,total energy (eV per atom),total moment (μB/f.u.),mass density (Mg/m³)
1,-5.20,0.0,9.1
2,-3.23,0.7,3.3
3,-3.40,0.0,6.3
4,-6.10,1.1,6.6